VASP calculation (PBE) on crystalline SrLiBr2 at its relaxed geometry.

abc: 5.540 5.540 5.540
angles: 60.00 60.00 60.00
Fractional positions:
Br1 0.000 0.000 0.000
Br2 0.250 0.250 0.250
Li1 0.500 0.500 0.500
Sr1 0.750 0.750 0.750

Output
formation energy without anion corrections	-0.8654	eV/atom
final energy	-10.403	eV/cell
total moment	0.9	μB/f.u.
space-group type	F-43m, No. 216